Sc2CrF8 GGA+U optimized geometry; SG = No. 12; final energy = -6.735 eV per atom
1.0
-4.581 1.222 2.278
2.727 -1.895 4.301
3.058 4.147 1.725
F Cr Sc
8 1 2
Direct
0.687 0.660 0.045
0.313 0.340 0.955
0.264 0.441 0.441
0.192 0.828 0.828
0.313 0.955 0.340
0.687 0.045 0.660
0.736 0.559 0.559
0.808 0.172 0.172
0.000 0.000 0.000
0.437 0.681 0.681
0.563 0.319 0.319